# 1
{"formula": "Ti2Be2Pd", "functional": "meta-GGA SCAN", "state": "single point on PBEsol structure", "final_energy_ev_per_atom": -15.15, "dos_ef_per_ev_cell": 5.93, "space_group": "No. 127", "lattice": [[-1.467, -2.660, -1.397], [5.464, -2.696, -0.603], [-0.647, -2.547, 5.530]], "species": ["Pd", "Pd", "Be", "Be", "Be", "Be", "Ti", "Ti", "Ti", "Ti"], "frac_coords": [[0.000, 0.500, 0.500], [0.000, 0.000, 0.000], [0.000, 0.626, 0.126], [0.000, 0.874, 0.626], [0.000, 0.374, 0.874], [0.000, 0.126, 0.374], [0.500, 0.831, 0.331], [0.500, 0.169, 0.669], [0.500, 0.331, 0.169], [0.500, 0.669, 0.831]]}

=====

# 2
{"formula": "YBePd3", "functional": "meta-GGA SCAN", "state": "single point on PBEsol structure", "final_energy_ev_per_atom": -26.87, "dos_ef_per_ev_cell": 3.27, "e_above_lowest_polymorph_mev_per_atom": 0, "space_group": "No. 221", "lattice": [[4.299, 0.000, 0.000], [0.000, 4.299, 0.000], [0.000, 0.000, 4.299]], "species": ["Pd", "Pd", "Pd", "Be", "Y"], "frac_coords": [[0.500, 0.000, 0.000], [0.000, 0.000, 0.500], [0.000, 0.500, 0.000], [0.000, 0.000, 0.000], [0.500, 0.500, 0.500]]}

=====

# 3
{"formula": "YBe3Pd", "functional": "meta-GGA SCAN", "state": "single point on PBEsol structure", "final_energy_ev_per_atom": -14.96, "dos_ef_per_ev_cell": 2.74, "space_group": "No. 221", "lattice": [[4.229, 0.000, 0.000], [0.000, 4.229, 0.000], [0.000, 0.000, 4.229]], "species": ["Be", "Be", "Be", "Pd", "Y"], "frac_coords": [[0.000, 0.500, 0.000], [0.500, 0.000, 0.000], [0.000, 0.000, 0.500], [0.000, 0.000, 0.000], [0.500, 0.500, 0.500]]}

=====

# 4
{"formula": "YBe2Pd2", "functional": "meta-GGA SCAN", "state": "single point on PBEsol structure", "final_energy_ev_per_atom": -21.13, "dos_ef_per_ev_cell": 2.43, "space_group": "No. 139", "lattice": [[-1.463, 3.231, -1.678], [-3.610, -1.054, 1.119], [3.126, 1.366, 4.492]], "species": ["Be", "Be", "Y", "Pd", "Pd"], "frac_coords": [[0.250, 0.750, 0.500], [0.750, 0.250, 0.500], [0.000, 0.000, 0.000], [0.635, 0.635, 0.270], [0.365, 0.365, 0.730]]}